(1)
Density functional theory data (PBE) for a relaxed structure of Zr2ReBiC.

Lattice parameters (Å, degrees): 5.4017 4.9285 5.4017 90.00 90.00 90.00
Closest atoms and distances in Å follow each position.
Element x y z (fractional)
Re  0.0000  0.5000  0.0000  2 Bi 2.46
C  0.5000  0.5000  0.5000  8 Zr 3.66, 4 Re 3.82
Bi  0.0000  0.0000  0.0000  2 Re 2.46, 4 Zr 2.70
Zr  0.0000  0.0000  0.5000  2 Bi 2.70
Zr  0.5000  0.0000  0.0000  2 Bi 2.70

Calculated values
total DFT energy (no corrections): -5.548 eV/atom
calculated density: 6.81 g cm⁻³
symmetry: P4/mmm (123)
E_form: 2.9819 eV per atom

(2)
Density functional theory data (PBE) for a relaxed structure of AlPt4.

Lattice parameters (Å, degrees): 2.7845 2.7845 11.8149 90.00 90.00 120.00
Closest atoms and distances in Å follow each position.
Element x y z (fractional)
Al  0.0000  0.0000  0.0000  6 Pt 2.56, 6 Al 2.78
Pt  0.3333  0.6667  0.8318  3 Al 2.56, 7 Pt 2.71-2.78
Pt  0.6667  0.3333  0.1682  3 Al 2.56, 7 Pt 2.71-2.78
Pt  0.3333  0.6667  0.6022  10 Pt 2.71-2.90
Pt  0.6667  0.3333  0.3978  10 Pt 2.71-2.90

Calculated values
total DFT energy (no corrections): -5.897 eV/atom
energy above the lowest structure with this stoichiometry: 161 meV/atom
calculated density: 16.90 g cm⁻³
symmetry: P-3m1 (164)
E_form: -0.3161 eV per atom

(3)
Density functional theory data (PBE) for a relaxed structure of PmHo2TmBi4.

Lattice parameters (Å, degrees): 4.4881 7.7680 7.7652 70.52 90.00 90.00
Closest atoms and distances in Å follow each position.
Element x y z (fractional)
Pm  0.5000  0.5000  0.0000  6 Bi 3.21
Ho  0.0000  0.0000  0.0000  6 Bi 3.18
Ho  0.5000  0.0000  0.5000  6 Bi 3.14
Tm  0.0000  0.5000  0.5000  6 Bi 3.16
Bi  0.0000  0.7546  0.7439  3 Ho 3.14-3.18, 1 Tm 3.16, 2 Pm 3.21
Bi  0.0000  0.2454  0.2561  3 Ho 3.14-3.18, 1 Tm 3.16, 2 Pm 3.21
Bi  0.5000  0.7513  0.2541  3 Ho 3.14-3.18, 2 Tm 3.16, 1 Pm 3.21
Bi  0.5000  0.2487  0.7459  3 Ho 3.14-3.18, 2 Tm 3.16, 1 Pm 3.21

Calculated values
total DFT energy (no corrections): -5.081 eV/atom
calculated density: 9.63 g cm⁻³
symmetry: P2/m (10)
E_form: -0.8438 eV per atom

(4)
Density functional theory data (PBE) for a relaxed structure of CrPt8Rh2.

Lattice parameters (Å, degrees): 3.9268 6.2200 7.3415 104.88 105.51 90.00
Closest atoms and distances in Å follow each position.
Element x y z (fractional)
Cr  0.5000  0.0000  0.0000  12 Pt 2.72-2.76
Pt  0.5912  0.4448  0.1824  1 Cr 2.72, 8 Pt 2.74-2.84, 3 Rh 2.76
Pt  0.3193  0.0888  0.6387  1 Cr 2.76, 8 Pt 2.76-2.84, 3 Rh 2.81
Pt  0.1348  0.1797  0.2696  7 Pt 2.74-2.81, 3 Rh 2.75-2.82, 2 Cr 2.76
Pt  0.0453  0.7319  0.0906  9 Pt 2.74-2.84, 2 Cr 2.76, 1 Rh 2.78
Pt  0.8652  0.8203  0.7304  7 Pt 2.74-2.81, 3 Rh 2.75-2.82, 2 Cr 2.76
Pt  0.6807  0.9112  0.3613  1 Cr 2.76, 8 Pt 2.76-2.84, 3 Rh 2.81
Pt  0.4088  0.5552  0.8176  1 Cr 2.72, 8 Pt 2.74-2.84, 3 Rh 2.76
Pt  0.9547  0.2681  0.9094  9 Pt 2.74-2.84, 2 Cr 2.76, 1 Rh 2.78
Rh  0.2250  0.6305  0.4500  10 Pt 2.75-2.82, 2 Rh 2.76
Rh  0.7750  0.3695  0.5500  10 Pt 2.75-2.82, 2 Rh 2.76

Calculated values
total DFT energy (no corrections): -6.720 eV/atom
calculated density: 18.13 g cm⁻³
symmetry: C2/m (12)
E_form: -0.1152 eV per atom

(5)
Density functional theory data (PBE) for a relaxed structure of K2RbRe.

Lattice parameters (Å, degrees): 6.3039 6.3039 6.3039 60.00 60.00 60.00
Closest atoms and distances in Å follow each position.
Element x y z (fractional)
Re  0.5000  0.5000  0.5000  8 K 3.86
K  0.2500  0.2500  0.2500  4 Re 3.86, 4 Rb 3.86
K  0.7500  0.7500  0.7500  4 Re 3.86, 4 Rb 3.86
Rb  0.0000  0.0000  0.0000  8 K 3.86

Calculated values
total DFT energy (no corrections): -2.389 eV/atom
energy above the lowest structure with this stoichiometry: 0 meV/atom
calculated density: 3.28 g cm⁻³
symmetry: Fm-3m (225)
E_form: 1.5138 eV per atom

(6)
Density functional theory data (PBE) for a relaxed structure of SrHg3Se.

Lattice parameters (Å, degrees): 5.5215 5.5215 5.5215 90.00 90.00 90.00
Closest atoms and distances in Å follow each position.
Element x y z (fractional)
Sr  0.5000  0.5000  0.5000  12 Hg 3.90
Hg  0.0000  0.5000  0.0000  2 Se 2.76
Hg  0.0000  0.0000  0.5000  2 Se 2.76
Hg  0.5000  0.0000  0.0000  2 Se 2.76
Se  0.0000  0.0000  0.0000  6 Hg 2.76

Calculated values
total DFT energy (no corrections): -1.224 eV/atom
energy above the lowest structure with this stoichiometry: 0 meV/atom
calculated density: 7.58 g cm⁻³
symmetry: Pm-3m (221)
formation energy (no corrections): -0.009 eV/atom

(7)
Density functional theory data (PBE) for a relaxed structure of Tb3Pr2Rh2.

Lattice parameters (Å, degrees): 3.8065 6.4703 9.1279 115.29 90.00 107.11
Closest atoms and distances in Å follow each position.
Element x y z (fractional)
Tb  0.5000  0.0000  0.0000  4 Rh 2.97
Tb  0.6175  0.2349  0.4300  3 Rh 2.82-2.96
Tb  0.3825  0.7651  0.5700  3 Rh 2.82-2.96
Pr  0.8357  0.6714  0.1927  2 Rh 2.97
Pr  0.1643  0.3286  0.8073  2 Rh 2.97
Rh  0.8290  0.6580  0.7566  5 Tb 2.82-2.97, 2 Pr 2.97
Rh  0.1710  0.3420  0.2434  5 Tb 2.82-2.97, 2 Pr 2.97

Calculated values
total DFT energy (no corrections): -5.981 eV/atom
calculated density: 8.33 g cm⁻³
symmetry: C2/m (12)
E_form: -0.5303 eV per atom

(8)
Density functional theory data (PBE) for a relaxed structure of TcHgCl2.

Lattice parameters (Å, degrees): 5.5529 5.5529 3.4277 72.91 72.91 105.33
Closest atoms and distances in Å follow each position.
Element x y z (fractional)
Cl  0.0000  0.0000  0.0000  2 Tc 2.80, 2 Hg 2.80
Cl  0.5000  0.5000  0.0000  2 Hg 2.80, 2 Tc 2.80
Hg  0.5000  0.0000  0.5000  4 Cl 2.80
Tc  0.0000  0.5000  0.5000  4 Cl 2.80

Calculated values
total DFT energy (no corrections): -3.093 eV/atom
energy above the lowest structure with this stoichiometry: 643 meV/atom
calculated density: 6.88 g cm⁻³
symmetry: C2/m (12)
formation energy (no corrections): 0.497 eV/atom

(9)
Density functional theory data (PBE) for a relaxed structure of RbSiAg2S4.

Lattice parameters (Å, degrees): 6.7218 6.3165 6.3165 82.26 57.85 57.85
Closest atoms and distances in Å follow each position.
Element x y z (fractional)
Rb  0.0000  0.0000  0.0000  8 S 3.23-3.43
Si  0.0000  0.5000  0.5000  4 S 2.14
Ag  0.5000  0.7473  0.2527  4 S 2.60-2.61
Ag  0.5000  0.2527  0.7473  4 S 2.60-2.61
S  0.6292  0.5399  0.8309  1 Si 2.14
S  0.3708  0.1691  0.4601  1 Si 2.14
S  0.0000  0.4601  0.1691  1 Si 2.14
S  0.0000  0.8309  0.5399  1 Si 2.14

Calculated values
total DFT energy (no corrections): -4.124 eV/atom
calculated density: 4.04 g cm⁻³
symmetry: I222 (23)
formation energy (no corrections): -0.549 eV/atom

(10)
Density functional theory data (PBE) for a relaxed structure of AlRe2.

Lattice parameters (Å, degrees): 11.6850 11.6850 11.6850 166.08 166.08 19.73
Closest atoms and distances in Å follow each position.
Element x y z (fractional)
Al  0.0000  0.0000  0.0000  8 Re 2.72, 4 Al 2.83
Al  0.7500  0.2500  0.5000  8 Re 2.72, 4 Al 2.83
Re  0.5797  0.5797  0.0000  2 Re 2.52, 4 Al 2.72
Re  0.1703  0.6703  0.5000  2 Re 2.52, 4 Al 2.72
Re  0.4203  0.4203  0.0000  2 Re 2.52, 4 Al 2.72
Re  0.3297  0.8297  0.5000  2 Re 2.52, 4 Al 2.72

Calculated values
total DFT energy (no corrections): -9.270 eV/atom
calculated density: 14.38 g cm⁻³
symmetry: I4_1/amd (141)
E_form: 0.2766 eV per atom

(11)
Density functional theory data (PBE) for a relaxed structure of V2BiBr.

Lattice parameters (Å, degrees): 5.8027 5.8027 7.9440 68.58 68.58 90.00
Closest atoms and distances in Å follow each position.
Element x y z (fractional)
Bi  0.0000  0.0000  0.0000  4 V 2.77
Bi  0.7500  0.2500  0.5000  4 V 2.77
Br  0.5000  0.5000  0.0000  4 V 2.56
Br  0.2500  0.7500  0.5000  4 V 2.56
V  0.5916  0.1250  0.2500  2 Br 2.56, 2 Bi 2.77
V  0.1584  0.6250  0.2500  2 Br 2.56, 2 Bi 2.77
V  0.3750  0.4084  0.7500  2 Br 2.56, 2 Bi 2.77
V  0.8750  0.8416  0.7500  2 Br 2.56, 2 Bi 2.77

Calculated values
total DFT energy (no corrections): -5.396 eV/atom
energy above the lowest structure with this stoichiometry: 43 meV/atom
calculated density: 5.67 g cm⁻³
symmetry: I-42d (122)
formation energy (no corrections): 0.551 eV/atom

(12)
Density functional theory data (PBE) for a relaxed structure of AcTeSe2.

Lattice parameters (Å, degrees): 4.6856 4.6856 9.0599 75.01 75.01 60.00
Closest atoms and distances in Å follow each position.
Element x y z (fractional)
Ac  0.5000  0.5000  0.5000  6 Se 3.11
Te  0.0000  0.0000  0.0000  2 Se 2.78
Se  0.1072  0.1072  0.6783  1 Te 2.78, 3 Ac 3.11
Se  0.8928  0.8928  0.3217  1 Te 2.78, 3 Ac 3.11

Calculated values
total DFT energy (no corrections): -4.548 eV/atom
energy above the lowest structure with this stoichiometry: 0 meV/atom
calculated density: 5.18 g cm⁻³
symmetry: R-3m (166)
formation energy (no corrections): -0.993 eV/atom

(13)
Density functional theory data (PBE) for a relaxed structure of TaTi5Ga3.

Lattice parameters (Å, degrees): 5.8439 5.8439 10.0802 84.22 84.22 79.38
Closest atoms and distances in Å follow each position.
Element x y z (fractional)
Ta  0.0430  0.0430  0.7440  1 Ti 2.51, 2 Ga 2.54-2.56
Ta  0.9570  0.9570  0.2560  1 Ti 2.51, 2 Ga 2.54-2.56
Ti  0.0053  0.3981  0.3380  4 Ga 2.56-2.76, 1 Ti 2.78, 1 Ta 2.85
Ti  0.3310  0.6690  0.0000  3 Ga 2.47-2.71, 1 Ti 2.52
Ti  0.7152  0.7152  0.1561  1 Ta 2.51, 1 Ti 2.52, 1 Ga 2.71
Ti  0.4666  0.4666  0.3050  3 Ti 2.52-2.78, 2 Ga 2.68-2.78
Ti  0.5334  0.5334  0.6950  3 Ti 2.52-2.78, 2 Ga 2.68-2.78
Ti  0.2848  0.2848  0.8439  1 Ta 2.51, 1 Ti 2.52, 1 Ga 2.71
Ti  0.3981  0.0053  0.3380  4 Ga 2.56-2.76, 1 Ti 2.78, 1 Ta 2.85
Ti  0.6690  0.3310  0.0000  3 Ga 2.47-2.71, 1 Ti 2.52
Ti  0.9947  0.6019  0.6620  4 Ga 2.56-2.76, 1 Ti 2.78, 1 Ta 2.85
Ti  0.6019  0.9947  0.6620  4 Ga 2.56-2.76, 1 Ti 2.78, 1 Ta 2.85
Ga  0.7507  0.7507  0.8848  1 Ga 2.66, 6 Ti 2.67-2.91, 1 Ta 2.82
Ga  0.7038  0.7038  0.4567  6 Ti 2.56-2.78, 1 Ga 2.75, 1 Ta 2.84
Ga  0.0000  0.0000  0.0000  2 Ti 2.47, 2 Ta 2.56, 2 Ga 2.66
Ga  0.0000  0.0000  0.5000  2 Ta 2.54, 4 Ti 2.71, 2 Ga 2.75
Ga  0.2493  0.2493  0.1152  1 Ga 2.66, 6 Ti 2.67-2.91, 1 Ta 2.82
Ga  0.2962  0.2962  0.5433  6 Ti 2.56-2.78, 1 Ga 2.75, 1 Ta 2.84

Calculated values
total DFT energy (no corrections): -6.536 eV/atom
energy above the lowest structure with this stoichiometry: 564 meV/atom
calculated density: 6.23 g cm⁻³
symmetry: C2/m (12)
E_form: 0.1765 eV per atom

(14)
Density functional theory data (PBE) for a relaxed structure of SrNbTeO2.

Lattice parameters (Å, degrees): 4.4003 4.4003 6.6581 90.00 90.00 90.00
Closest atoms and distances in Å follow each position.
Element x y z (fractional)
Sr  0.0000  0.0000  0.0000  4 O 2.20
Nb  0.5000  0.5000  0.5000  4 Te 3.11
Te  0.0000  0.0000  0.5000  4 Nb 3.11, 2 Sr 3.33
O  0.0000  0.5000  0.0000  2 Sr 2.20
O  0.5000  0.0000  0.0000  2 Sr 2.20

Calculated values
total DFT energy (no corrections): -4.928 eV/atom
calculated density: 4.38 g cm⁻³
symmetry: P4/mmm (123)
formation energy (no corrections): 0.034 eV/atom

(15)
Density functional theory data (PBE) for a relaxed structure of AgMoP.

Lattice parameters (Å, degrees): 2.9869 2.9869 6.4363 90.00 90.00 120.00
Closest atoms and distances in Å follow each position.
Element x y z (fractional)
Ag  0.0000  0.0000  0.9958  3 P 2.91, 3 Mo 2.98, 6 Ag 2.99
Mo  0.3333  0.6667  0.3729  3 P 2.40
P  0.6667  0.3333  0.6313  3 Mo 2.40

Calculated values
total DFT energy (no corrections): -6.230 eV/atom
energy above the lowest structure with this stoichiometry: 26 meV/atom
calculated density: 7.84 g cm⁻³
symmetry: P3m1 (156)
E_form: 0.1345 eV per atom

(16)
Density functional theory data (PBE) for a relaxed structure of MgPdS.

Lattice parameters (Å, degrees): 4.5176 6.2136 4.5174 75.97 74.08 75.97
Closest atoms and distances in Å follow each position.
Element x y z (fractional)
Mg  0.1805  0.2187  0.1061  3 S 2.54-2.60, 3 Pd 2.78-2.80
Mg  0.0095  0.7807  0.9351  3 S 2.54-2.60, 3 Pd 2.78-2.80
S  0.2961  0.8025  0.3505  2 Pd 2.34-2.41, 3 Mg 2.54-2.60
S  0.7651  0.1970  0.8195  2 Pd 2.34-2.41, 3 Mg 2.54-2.60
Pd  0.9875  0.5100  0.5307  2 S 2.34-2.41
Pd  0.5848  0.4895  0.1280  2 S 2.34-2.41

Calculated values
total DFT energy (no corrections): -4.380 eV/atom
calculated density: 4.65 g cm⁻³
symmetry: C2 (5)
formation energy (no corrections): -0.741 eV/atom

(17)
Density functional theory data (PBE) for a relaxed structure of HfRu2Br.

Lattice parameters (Å, degrees): 4.5795 4.5795 4.5795 60.00 60.00 60.00
Closest atoms and distances in Å follow each position.
Element x y z (fractional)
Ru  0.2500  0.2500  0.2500  4 Hf 2.80, 4 Br 2.80
Ru  0.7500  0.7500  0.7500  4 Br 2.80, 4 Hf 2.80
Hf  0.5000  0.5000  0.5000  8 Ru 2.80
Br  0.0000  0.0000  0.0000  8 Ru 2.80

Calculated values
total DFT energy (no corrections): -7.087 eV/atom
energy above the lowest structure with this stoichiometry: 0 meV/atom
calculated density: 11.26 g cm⁻³
symmetry: Fm-3m (225)
formation energy (no corrections): 0.457 eV/atom

(18)
Density functional theory data (PBE) for a relaxed structure of SrTlSe4.

Lattice parameters (Å, degrees): 6.0472 6.0472 6.0472 60.00 60.00 60.00
Closest atoms and distances in Å follow each position.
Element x y z (fractional)
Sr  0.7500  0.7500  0.7500  12 Se 3.55, 4 Tl 3.70
Tl  0.0000  0.0000  0.0000  12 Se 3.55, 4 Sr 3.70
Se  0.8755  0.3748  0.3748  6 Se 3.02-3.03
Se  0.3748  0.3748  0.8755  6 Se 3.02-3.03
Se  0.3748  0.8755  0.3748  6 Se 3.02-3.03
Se  0.3748  0.3748  0.3748  6 Se 3.02-3.03

Calculated values
total DFT energy (no corrections): -3.329 eV/atom
calculated density: 6.45 g cm⁻³
symmetry: F-43m (216)
formation energy (no corrections): -0.332 eV/atom

(19)
Density functional theory data (PBE) for a relaxed structure of MgZnSe2.

Lattice parameters (Å, degrees): 9.3260 9.3260 5.5189 90.00 90.00 155.69
Closest atoms and distances in Å follow each position.
Element x y z (fractional)
Zn  0.3307  0.6693  0.2500  3 Se 2.35-2.60
Zn  0.6693  0.3307  0.7500  3 Se 2.35-2.60
Mg  0.0680  0.9320  0.2500  2 Se 2.44-2.63
Mg  0.9320  0.0680  0.7500  2 Se 2.44-2.63
Se  0.2016  0.7984  0.2500  1 Zn 2.35, 1 Mg 2.44
Se  0.7984  0.2016  0.7500  1 Zn 2.35, 1 Mg 2.44
Se  0.9237  0.0763  0.2500  2 Zn 2.60, 3 Mg 2.63-2.76
Se  0.0763  0.9237  0.7500  2 Zn 2.60, 3 Mg 2.63-2.76

Calculated values
total DFT energy (no corrections): -2.847 eV/atom
calculated density: 4.16 g cm⁻³
symmetry: Cmcm (63)
formation energy (no corrections): -0.387 eV/atom

(20)
Density functional theory data (PBE) for a relaxed structure of Pm3ErAl4.

Lattice parameters (Å, degrees): 3.6621 3.6621 14.6977 90.00 90.00 90.00
Closest atoms and distances in Å follow each position.
Element x y z (fractional)
Er  0.5000  0.5000  0.0000  8 Al 3.09
Al  0.0000  0.0000  0.8856  4 Er 3.09, 4 Pm 3.22, 1 Al 3.36
Al  0.0000  0.0000  0.1144  4 Er 3.09, 4 Pm 3.22, 1 Al 3.36
Al  0.0000  0.0000  0.3724  8 Pm 3.20
Al  0.0000  0.0000  0.6276  8 Pm 3.20
Pm  0.5000  0.5000  0.2444  8 Al 3.20-3.22
Pm  0.5000  0.5000  0.5000  8 Al 3.20
Pm  0.5000  0.5000  0.7556  8 Al 3.20-3.22

Calculated values
total DFT energy (no corrections): -4.599 eV/atom
calculated density: 5.98 g cm⁻³
symmetry: P4/mmm (123)
E_form: -0.3762 eV per atom